# 1
Here is Ta2Mn21P6 after structural relaxation from Alexandria. Energies are from PBE.

a b c (Å): 7.874 7.874 7.874
angles (deg): 60.00 60.00 60.00
Positions (direct):
1 Ta 0.250 0.250 0.250
2 Ta 0.750 0.750 0.750
3 Mn 0.000 0.000 0.000
4 Mn 0.000 0.000 0.354
5 Mn 0.000 0.000 0.646
6 Mn 0.000 0.354 0.000
7 Mn 0.000 0.354 0.646
8 Mn 0.000 0.646 0.000
9 Mn 0.000 0.646 0.354
10 Mn 0.140 0.620 0.620
11 Mn 0.354 0.000 0.000
12 Mn 0.354 0.000 0.646
13 Mn 0.354 0.646 0.000
14 Mn 0.380 0.380 0.380
15 Mn 0.380 0.380 0.860
16 Mn 0.380 0.860 0.380
17 Mn 0.620 0.140 0.620
18 Mn 0.620 0.620 0.140
19 Mn 0.620 0.620 0.620
20 Mn 0.646 0.000 0.000
21 Mn 0.646 0.000 0.354
22 Mn 0.646 0.354 0.000
23 Mn 0.860 0.380 0.380
24 P 0.269 0.269 0.731
25 P 0.269 0.731 0.269
26 P 0.269 0.731 0.731
27 P 0.731 0.269 0.269
28 P 0.731 0.269 0.731
29 P 0.731 0.731 0.269

Values from the calculation:
DFT total energy in eV per atom: -8.877
Energy of formation from the pure elements in meV per atom: -300

# 2
Here is DyHgGe after structural relaxation from Alexandria. Energies are from PBE.

a b c (Å): 4.190 16.918 3.958
angles (deg): 90.00 90.00 90.00
Positions (direct):
1 Dy 0.000 0.094 0.250
2 Dy 0.000 0.906 0.750
3 Dy 0.500 0.406 0.750
4 Dy 0.500 0.594 0.250
5 Hg 0.000 0.283 0.250
6 Hg 0.000 0.717 0.750
7 Hg 0.500 0.217 0.750
8 Hg 0.500 0.783 0.250
9 Ge 0.000 0.450 0.250
10 Ge 0.000 0.550 0.750
11 Ge 0.500 0.050 0.750
12 Ge 0.500 0.950 0.250

Values from the calculation:
DFT total energy in eV per atom: -3.698
Energy of formation from the pure elements in meV per atom: -524

# 3
Here is SiP2Ru after structural relaxation from Alexandria. Energies are from PBE.

a b c (Å): 7.848 2.883 6.108
angles (deg): 90.00 90.30 90.00
Positions (direct):
1 Si 0.000 0.000 0.000
2 Si 0.500 0.500 0.000
3 P 0.291 0.000 0.838
4 P 0.427 0.000 0.359
5 P 0.791 0.500 0.838
6 P 0.927 0.500 0.359
7 Ru 0.219 0.500 0.167
8 Ru 0.719 0.000 0.167

Values from the calculation:
Raw formation energy in eV per atom: 0.055
DFT total energy in eV per atom: -6.324

# 4
Here is ScPPt2 after structural relaxation from Alexandria. Energies are from PBE.

a b c (Å): 3.637 3.613 10.228
angles (deg): 90.00 90.00 90.00
Positions (direct):
1 Sc 0.000 0.000 0.000
2 Sc 0.000 0.500 0.500
3 P 0.500 0.000 0.590
4 P 0.500 0.500 0.090
5 Pt 0.000 0.000 0.728
6 Pt 0.000 0.500 0.228
7 Pt 0.500 0.000 0.359
8 Pt 0.500 0.500 0.859

Values from the calculation:
DFT total energy in eV per atom: -6.814
Energy of formation from the pure elements in meV per atom: -859

# 5
Here is CrTcRh after structural relaxation from Alexandria. Energies are from PBE.

a b c (Å): 6.501 5.838 4.948
angles (deg): 90.00 112.20 90.00
Positions (direct):
1 Cr 0.165 0.138 0.083
2 Cr 0.165 0.362 0.583
3 Cr 0.835 0.638 0.417
4 Cr 0.835 0.862 0.917
5 Tc 0.183 0.750 0.343
6 Tc 0.183 0.750 0.843
7 Tc 0.817 0.250 0.157
8 Tc 0.817 0.250 0.657
9 Rh 0.415 0.066 0.708
10 Rh 0.415 0.434 0.208
11 Rh 0.585 0.566 0.792
12 Rh 0.585 0.934 0.292

Values from the calculation:
DFT total energy in eV per atom: -8.886
Energy of formation from the pure elements in meV per atom: 228
Excess energy over the best structure of this formula in the dataset in eV/atom: 0.1870

# 6
Here is PmYScZn after structural relaxation from Alexandria. Energies are from PBE.

a b c (Å): 7.459 7.459 7.459
angles (deg): 90.00 90.00 90.00
Positions (direct):
1 Pm 0.000 0.000 0.000
2 Pm 0.000 0.500 0.500
3 Pm 0.500 0.000 0.500
4 Pm 0.500 0.500 0.000
5 Y 0.000 0.000 0.500
6 Y 0.000 0.500 0.000
7 Y 0.500 0.000 0.000
8 Y 0.500 0.500 0.500
9 Sc 0.250 0.250 0.750
10 Sc 0.250 0.750 0.250
11 Sc 0.750 0.250 0.250
12 Sc 0.750 0.750 0.750
13 Zn 0.250 0.250 0.250
14 Zn 0.250 0.750 0.750
15 Zn 0.750 0.250 0.750
16 Zn 0.750 0.750 0.250

Values from the calculation:
DFT total energy in eV per atom: -4.718
Energy of formation from the pure elements in meV per atom: -13
Excess energy over the best structure of this formula in the dataset in eV/atom: 0.1428

# 7
Here is MgH6Pt2Pb after structural relaxation from Alexandria. Energies are from PBE.

a b c (Å): 6.205 6.205 6.072
angles (deg): 102.29 102.29 88.48
Positions (direct):
1 Mg 0.102 0.898 0.750
2 Mg 0.898 0.102 0.250
3 H 0.068 0.854 0.421
4 H 0.146 0.932 0.079
5 H 0.208 0.261 0.903
6 H 0.227 0.600 0.811
7 H 0.261 0.208 0.403
8 H 0.400 0.773 0.689
9 H 0.600 0.227 0.311
10 H 0.739 0.792 0.597
11 H 0.773 0.400 0.189
12 H 0.792 0.739 0.097
13 H 0.854 0.068 0.921
14 H 0.932 0.146 0.579
15 Pt 0.088 0.373 0.678
16 Pt 0.373 0.088 0.178
17 Pt 0.627 0.912 0.822
18 Pt 0.912 0.627 0.322
19 Pb 0.366 0.634 0.250
20 Pb 0.634 0.366 0.750

Values from the calculation:
DFT total energy in eV per atom: -3.841

# 8
Here is MgCuP after structural relaxation from Alexandria. Energies are from PBE.

a b c (Å): 4.675 4.128 6.601
angles (deg): 90.00 109.93 90.00
Positions (direct):
1 Mg 0.225 0.250 0.448
2 Mg 0.775 0.750 0.552
3 Cu 0.443 0.250 0.891
4 Cu 0.557 0.750 0.109
5 P 0.355 0.750 0.720
6 P 0.645 0.250 0.280

Values from the calculation:
DFT total energy in eV per atom: -4.036
Energy of formation from the pure elements in meV per atom: -336